(1)
Ti2NbTlIr | PBE-GGA | optimized geometry

The space group is P4/mmm (No. 123) and the conventional cell measures 4.884, 4.884 and 5.084 Å, with angles of 90.00, 90.00 and 90.00 degrees. The asymmetric unit holds Ti at (0.000, 0.500, 0.000), Nb at (0.000, 0.000, 0.500), Tl at (0.000, 0.000, 0.000) and Ir at (0.500, 0.500, 0.500).

The electronic total energy is -5.521 eV per atom. The value obtained for the formation energy is 1896 meV per atom.

(2)
La4Dy2Ho | PBE-GGA | optimized geometry

The space group is Imma (No. 74) and the conventional cell measures 6.962, 11.598 and 12.173 Å, with angles of 90.00, 90.00 and 90.00 degrees. The asymmetric unit holds La at (0.000, 0.002, 0.152), La at (0.218, 0.250, 0.992), Dy at (0.000, 0.000, 0.500), Dy at (0.000, 0.250, 0.715) and Ho at (0.250, 0.250, 0.250).

The electronic total energy is -4.562 eV per atom. The value obtained for the formation energy is 222 meV per atom.

(3)
Y2ZnF8 | PBE-GGA | optimized geometry

The space group is C2/m (No. 12) and the conventional cell measures 15.998, 3.411 and 5.779 Å, with angles of 90.00, 91.47 and 90.00 degrees. The asymmetric unit holds Y at (0.154, 0.000, 0.344), Zn at (0.000, 0.500, 0.000), F at (0.016, 0.000, 0.217), F at (0.107, 0.500, 0.539), F at (0.127, 0.500, 0.069) and F at (0.244, 0.000, 0.672).

Its uncorrected formation energy is -3524 meV per atom. The electronic total energy is -6.176 eV per atom.

(4)
Cr2InAg | PBE-GGA | optimized geometry

The space group is C2/m (No. 12) and the conventional cell measures 10.005, 2.997 and 4.817 Å, with angles of 90.00, 110.70 and 90.00 degrees. The asymmetric unit holds Cr at (0.249, 0.000, 0.338), In at (0.000, 0.500, 0.000) and Ag at (0.000, 0.000, 0.500).

The electronic total energy is -5.653 eV per atom. The value obtained for the formation energy is 556 meV per atom.

(5)
In2FeCu | PBE-GGA | optimized geometry

The space group is C2/m (No. 12) and the conventional cell measures 8.849, 3.049 and 5.386 Å, with angles of 90.00, 102.23 and 90.00 degrees. The asymmetric unit holds In at (0.249, 0.000, 0.251), Fe at (0.000, 0.000, 0.500) and Cu at (0.000, 0.500, 0.000).

The electronic total energy is -4.174 eV per atom. The value obtained for the formation energy is 335 meV per atom.

(6)
AuSe2S6 | PBE-GGA | optimized geometry

The space group is P-1 (No. 2) and the conventional cell measures 5.560, 6.483 and 8.612 Å, with angles of 97.60, 104.85 and 114.85 degrees. The asymmetric unit holds Au at (0.000, 0.000, 0.000), Se at (0.003, 0.376, 0.687), S at (0.143, 0.146, 0.294), S at (0.143, 0.451, 0.974) and S at (0.158, 0.760, 0.687).

Its uncorrected formation energy is 119 meV per atom. The electronic total energy is -3.771 eV per atom.

(7)
AgMoBr4 | PBE-GGA | optimized geometry

The space group is C2/c (No. 15) and the conventional cell measures 14.502, 8.437 and 6.673 Å, with angles of 90.00, 109.13 and 90.00 degrees. The asymmetric unit holds Ag at (0.000, 0.097, 0.250), Mo at (0.000, 0.381, 0.750), Br at (0.108, 0.398, 0.504) and Br at (0.110, 0.165, 0.986).

Its uncorrected formation energy is -433 meV per atom. The electronic total energy is -3.829 eV per atom.

(8)
LiTmGaPt | PBE-GGA | optimized geometry

The space group is F-43m (No. 216) and the conventional cell measures 6.531, 6.531 and 6.531 Å, with angles of 90.00, 90.00 and 90.00 degrees. The asymmetric unit holds Li at (0.000, 0.000, 0.000), Tm at (0.250, 0.250, 0.250), Ga at (0.250, 0.250, 0.750) and Pt at (0.000, 0.000, 0.500).

The electronic total energy is -4.668 eV per atom. The value obtained for the formation energy is -805 meV per atom.

(9)
DyMgRhO4 | PBE-GGA | optimized geometry

The space group is Imma (No. 74) and the conventional cell measures 6.373, 6.563 and 8.598 Å, with angles of 90.00, 90.00 and 90.00 degrees. The asymmetric unit holds Dy at (0.000, 0.000, 0.000), Mg at (0.000, 0.250, 0.390), Rh at (0.250, 0.250, 0.750), O at (0.000, 0.033, 0.734) and O at (0.237, 0.250, 0.996).

Its uncorrected formation energy is -2213 meV per atom. The electronic total energy is -6.981 eV per atom.

(10)
CaTmAgAu | PBE-GGA | optimized geometry

The space group is F-43m (No. 216) and the conventional cell measures 7.200, 7.200 and 7.200 Å, with angles of 90.00, 90.00 and 90.00 degrees. The asymmetric unit holds Ca at (0.000, 0.000, 0.000), Tm at (0.000, 0.000, 0.500), Ag at (0.250, 0.250, 0.250) and Au at (0.250, 0.250, 0.750).

The electronic total energy is -3.706 eV per atom. The value obtained for the formation energy is -555 meV per atom.

(11)
Pm3DyPt | PBE-GGA | optimized geometry

The space group is Ima2 (No. 46) and the conventional cell measures 10.610, 7.481 and 8.287 Å, with angles of 90.00, 90.00 and 90.00 degrees. The asymmetric unit holds Pm at (0.021, 0.249, 0.000), Pm at (0.250, 0.011, 0.252), Dy at (0.250, 0.502, 0.248) and Pt at (0.250, 0.748, 0.500).

The electronic total energy is -5.356 eV per atom. The value obtained for the formation energy is -377 meV per atom.

(12)
NiOs2Br | PBE-GGA | optimized geometry

The space group is I-42d (No. 122) and the conventional cell measures 3.682, 3.682 and 19.274 Å, with angles of 90.00, 90.00 and 90.00 degrees. The asymmetric unit holds Ni at (0.000, 0.000, 0.000), Os at (0.212, 0.250, 0.125) and Br at (0.000, 0.000, 0.500).

Its uncorrected formation energy is 1203 meV per atom. The electronic total energy is -6.275 eV per atom.

(13)
Ru4Pb | PBE-GGA | optimized geometry

The space group is Pm-3m (No. 221) and the conventional cell measures 4.920, 4.920 and 4.920 Å, with angles of 90.00, 90.00 and 90.00 degrees. The asymmetric unit holds Ru at (0.000, 0.000, 0.000), Ru at (0.000, 0.500, 0.500) and Pb at (0.500, 0.500, 0.500).

The electronic total energy is -5.530 eV per atom. The value obtained for the formation energy is 2632 meV per atom.

(14)
NiSn4Ir | PBE-GGA | optimized geometry

The space group is I4_1md (No. 109) and the conventional cell measures 8.887, 8.887 and 7.261 Å, with angles of 90.00, 90.00 and 90.00 degrees. The asymmetric unit holds Ni at (0.000, 0.000, 0.000), Sn at (0.000, 0.206, 0.751), Sn at (0.000, 0.216, 0.239) and Ir at (0.000, 0.000, 0.489).

The electronic total energy is -5.264 eV per atom. The value obtained for the formation energy is -155 meV per atom.

(15)
Ca5Ru2N6 | PBE-GGA | optimized geometry

The space group is C2/c (No. 15) and the conventional cell measures 10.101, 6.486 and 12.626 Å, with angles of 90.00, 102.78 and 90.00 degrees. The asymmetric unit holds Ca at (0.000, 0.126, 0.250), Ca at (0.062, 0.240, 0.001), Ca at (0.159, 0.389, 0.719), Ru at (0.230, 0.408, 0.441), N at (0.046, 0.463, 0.374), N at (0.142, 0.034, 0.646) and N at (0.206, 0.031, 0.413).

Its uncorrected formation energy is -564 meV per atom. The electronic total energy is -6.604 eV per atom.

(16)
Ce3Nb3Ga8 | PBE-GGA | optimized geometry

The space group is Immm (No. 71) and the conventional cell measures 4.396, 9.311 and 13.629 Å, with angles of 90.00, 90.00 and 90.00 degrees. The asymmetric unit holds Ce at (0.000, 0.000, 0.000), Ce at (0.000, 0.000, 0.292), Nb at (0.000, 0.177, 0.500), Nb at (0.000, 0.500, 0.000), Ga at (0.000, 0.287, 0.139) and Ga at (0.000, 0.362, 0.343).

The electronic total energy is -5.623 eV per atom. The value obtained for the formation energy is -464 meV per atom.

(17)
LaPrI3 | PBE-GGA | optimized geometry

The space group is C2/m (No. 12) and the conventional cell measures 7.478, 14.419 and 7.478 Å, with angles of 90.00, 114.00 and 90.00 degrees. The asymmetric unit holds La at (0.000, 0.181, 0.000), Pr at (0.000, 0.317, 0.500), I at (0.248, 0.500, 0.746) and I at (0.249, 0.358, 0.252).

Its uncorrected formation energy is -1189 meV per atom. The electronic total energy is -4.060 eV per atom.

(18)
TbSmGdMg | PBE-GGA | optimized geometry

The space group is F-43m (No. 216) and the conventional cell measures 7.848, 7.848 and 7.848 Å, with angles of 90.00, 90.00 and 90.00 degrees. The asymmetric unit holds Tb at (0.000, 0.000, 0.000), Sm at (0.000, 0.000, 0.500), Gd at (0.250, 0.250, 0.750) and Mg at (0.250, 0.250, 0.250).

The electronic total energy is -6.213 eV per atom. The value obtained for the formation energy is 44 meV per atom.

(19)
ZrScP3 | PBE-GGA | optimized geometry

The space group is Pm-3m (No. 221) and the conventional cell measures 4.774, 4.774 and 4.774 Å, with angles of 90.00, 90.00 and 90.00 degrees. The asymmetric unit holds Zr at (0.000, 0.000, 0.000), Sc at (0.500, 0.500, 0.500) and P at (0.000, 0.500, 0.500).

The electronic total energy is -5.962 eV per atom. The value obtained for the formation energy is 260 meV per atom.

(20)
InTcBr2 | PBE-GGA | optimized geometry

The space group is P4mm (No. 99) and the conventional cell measures 3.476, 3.476 and 8.509 Å, with angles of 90.00, 90.00 and 90.00 degrees. The asymmetric unit holds In at (0.000, 0.000, 0.000), Tc at (0.500, 0.500, 0.181), Br at (0.000, 0.000, 0.371) and Br at (0.500, 0.500, 0.786).

Its uncorrected formation energy is 250 meV per atom. The electronic total energy is -3.862 eV per atom.